No. 1
Material: KTl2Bi
Method: DFT, PBE-GGA
State: relaxed

a b c (Å): 5.230 12.420 9.074
angles (deg): 90.00 90.00 90.00
Space group Cmcm (No. 63)
Unique sites:
K1 0.000 0.080 0.250 (multiplicity 4)
Tl1 0.000 0.367 0.048 (multiplicity 8)
Bi1 0.000 0.207 0.750 (multiplicity 4)

Values from the calculation:
E_form ... -0.21 eV per atom
Energy relative to the lowest polymorph listed for this composition ... 0.0000 eV per atom

=====

No. 2
Material: BaLiTc2
Method: DFT, PBE-GGA
State: relaxed

a b c (Å): 3.836 3.836 5.309
angles (deg): 90.00 90.00 90.00
Space group P4/mmm (No. 123)
Unique sites:
Ba1 0.000 0.000 0.000 (multiplicity 1)
Li1 0.500 0.500 0.000 (multiplicity 1)
Tc1 0.000 0.500 0.500 (multiplicity 2)

Values from the calculation:
E_form ... 0.95 eV per atom
Energy relative to the lowest polymorph listed for this composition ... 0.5798 eV per atom

=====

No. 3
Material: AgAs2
Method: DFT, PBE-GGA
State: relaxed

a b c (Å): 2.791 2.791 15.470
angles (deg): 90.00 90.00 90.00
Space group I4/mmm (No. 139)
Unique sites:
Ag1 0.000 0.000 0.000 (multiplicity 2)
As1 0.000 0.000 0.353 (multiplicity 4)

Values from the calculation:
E_form ... 0.28 eV per atom

=====

no.,DOS(E_F) (states/eV per cell),volume (Å³/f.u.)
1,4.5,147.4
2,2.9,78.1
3,2.1,60.3